Entry from Alexandria: crystalline Al2BiO at its relaxed geometry (PBE).

Computed properties:
- Energy above the most stable polymorph in this dataset: 0.951 eV/atom
- Space group: Fm-3m
- Formation energy without anion corrections: 0.22 eV per atom

a b c (Å): 4.687 4.687 4.687
angles (deg): 60.00 60.00 60.00
Sites, in units of the cell vectors:
1 Al 0.250 0.250 0.250
2 Al 0.750 0.750 0.750
3 Bi 0.000 0.000 0.000
4 O 0.500 0.500 0.500